## A
VASP calculation (PBE+U) on MnCdI2O after structural relaxation.

Cell: 5.8550 5.8550 3.7848 Å, 90.00 90.00 90.00°
With the nearest neighbours (Å) after each atom.
Atoms (fractional coordinates):
1 Mn 0.0000 0.0000 0.0000  2 O 1.89
2 Cd 0.5000 0.5000 0.5000  8 I 3.49, 2 Cd 3.78
3 I 0.0000 0.5000 0.0000  2 Mn 2.93
4 I 0.5000 0.0000 0.0000  2 Mn 2.93
5 O 0.0000 0.0000 0.5000  2 Mn 1.89

Calculated values
Space group   P4/mmm, No. 123
Crystal system   tetragonal

***

## B
VASP calculation (PBE+U) on MnCdI2O after structural relaxation.

Cell: 5.9838 5.9838 4.0889 Å, 90.00 90.00 90.00°
With the nearest neighbours (Å) after each atom.
Atoms (fractional coordinates):
1 Mn 0.0000 0.0000 0.0000  8 I 3.62
2 Cd 0.5000 0.5000 0.5000  2 O 2.04
3 I 0.0000 0.5000 0.5000  2 Cd 2.99
4 I 0.5000 0.0000 0.5000  2 Cd 2.99
5 O 0.5000 0.5000 0.0000  2 Cd 2.04

Calculated values
Space group   P4/mmm, No. 123
Crystal system   tetragonal

***

What should be chosen as the least stable of them? Choose B.

***

## A
VASP calculation (PBE+U) on MnCdIO2 after structural relaxation.

Cell: 3.9881 3.9881 6.1649 Å, 90.00 90.00 90.00°
With the nearest neighbours (Å) after each atom.
Atoms (fractional coordinates):
1 Mn 0.0000 0.0000 0.0000  4 O 1.99
2 Cd 0.5000 0.5000 0.5000  4 I 2.82
3 I 0.0000 0.0000 0.5000  4 Cd 2.82, 2 Mn 3.08
4 O 0.0000 0.5000 0.0000  2 Mn 1.99
5 O 0.5000 0.0000 0.0000  2 Mn 1.99

Calculated values
Space group   P4/mmm, No. 123
Crystal system   tetragonal

***

## B
VASP calculation (PBE+U) on MnCdIO2 after structural relaxation.

Cell: 6.8342 6.8342 5.5301 Å, 90.00 90.00 131.22°
With the nearest neighbours (Å) after each atom.
Atoms (fractional coordinates):
1 Mn 0.0186 0.9814 0.7500  4 O 1.92
2 Mn 0.9814 0.0186 0.2500  4 O 1.92
3 Cd 0.3981 0.6019 0.7500  4 O 2.41
4 Cd 0.6019 0.3981 0.2500  4 O 2.41
5 I 0.2565 0.7435 0.2500  4 Cd 3.28-3.42, 1 Mn 3.43, 4 O 3.66
6 I 0.7435 0.2565 0.7500  4 Cd 3.28-3.42, 1 Mn 3.43, 4 O 3.66
7 O 0.2330 0.2330 0.0000  2 Mn 1.92
8 O 0.2330 0.2330 0.5000  2 Mn 1.92
9 O 0.7670 0.7670 0.0000  2 Mn 1.92
10 O 0.7670 0.7670 0.5000  2 Mn 1.92

Calculated values
Space group   Cmcm, No. 63
Crystal system   orthorhombic

***

## C
VASP calculation (PBE+U) on MnCdIO2 after structural relaxation.

Cell: 4.2420 4.2420 6.1613 Å, 90.00 90.00 90.00°
With the nearest neighbours (Å) after each atom.
Atoms (fractional coordinates):
1 Mn 0.0000 0.0000 0.0000  4 I 3.00
2 Cd 0.5000 0.5000 0.5000  4 O 2.12
3 I 0.5000 0.5000 0.0000  4 Mn 3.00, 2 Cd 3.08
4 O 0.0000 0.5000 0.5000  2 Cd 2.12
5 O 0.5000 0.0000 0.5000  2 Cd 2.12

Calculated values
Space group   P4/mmm, No. 123
Crystal system   tetragonal

***

What should be chosen as the least stable of them? Choose C.